(1)
VASP calculation (PBE) on La10Ge3P3 after structural relaxation.

Cell lengths 8.958, 8.958, 6.595 Å; angles 90.00, 90.00, 120.00 degrees
Atoms (fractional coordinates):
La 0.000 0.252 0.000
La 0.000 0.741 0.500
La 0.252 0.000 0.000
La 0.259 0.259 0.500
La 0.333 0.667 0.233
La 0.333 0.667 0.767
La 0.667 0.333 0.233
La 0.667 0.333 0.767
La 0.741 0.000 0.500
La 0.748 0.748 0.000
Ge 0.000 0.385 0.500
Ge 0.385 0.000 0.500
Ge 0.615 0.615 0.500
P 0.000 0.621 0.000
P 0.379 0.379 0.000
P 0.621 0.000 0.000

space group	P-62m, No. 189
crystal system	hexagonal

***

(2)
VASP calculation (PBE) on La15Ge9P after structural relaxation.

Cell lengths 15.743, 15.743, 6.971 Å; angles 90.00, 90.00, 120.00 degrees
Atoms (fractional coordinates):
La 0.016 0.339 0.000
La 0.016 0.677 0.000
La 0.082 0.164 0.275
La 0.082 0.918 0.275
La 0.163 0.581 0.250
La 0.164 0.082 0.775
La 0.248 0.497 0.723
La 0.248 0.752 0.723
La 0.323 0.339 0.000
La 0.323 0.984 0.000
La 0.339 0.016 0.500
La 0.339 0.323 0.500
La 0.419 0.581 0.250
La 0.419 0.837 0.250
La 0.497 0.248 0.223
La 0.503 0.752 0.723
La 0.581 0.163 0.750
La 0.581 0.419 0.750
La 0.661 0.677 0.000
La 0.661 0.984 0.000
La 0.677 0.016 0.500
La 0.677 0.661 0.500
La 0.752 0.248 0.223
La 0.752 0.503 0.223
La 0.836 0.918 0.275
La 0.837 0.419 0.750
La 0.918 0.082 0.775
La 0.918 0.836 0.775
La 0.984 0.323 0.500
La 0.984 0.661 0.500
Ge 0.070 0.535 0.742
Ge 0.130 0.260 0.728
Ge 0.130 0.870 0.728
Ge 0.200 0.400 0.279
Ge 0.200 0.800 0.279
Ge 0.260 0.130 0.228
Ge 0.400 0.200 0.779
Ge 0.465 0.535 0.742
Ge 0.465 0.930 0.742
Ge 0.535 0.070 0.242
Ge 0.535 0.465 0.242
Ge 0.600 0.800 0.279
Ge 0.740 0.870 0.728
Ge 0.800 0.200 0.779
Ge 0.800 0.600 0.779
Ge 0.870 0.130 0.228
Ge 0.870 0.740 0.228
Ge 0.930 0.465 0.242
P 0.333 0.667 0.487
P 0.667 0.333 0.987

space group	P6_3mc, No. 186
crystal system	hexagonal

***

(3)
VASP calculation (PBE) on LaGe2P after structural relaxation.

Cell lengths 5.013, 5.013, 5.013 Å; angles 60.00, 60.00, 60.00 degrees
Atoms (fractional coordinates):
La 0.000 0.000 0.000
Ge 0.250 0.250 0.250
Ge 0.750 0.750 0.750
P 0.500 0.500 0.500

space group	Fm-3m, No. 225
excess energy over the best structure of this formula in the dataset	286	meV per atom
crystal system	cubic

***

(4)
VASP calculation (PBE) on La2Ge3PPd4 after structural relaxation.

Cell lengths 4.437, 4.437, 9.897 Å; angles 90.00, 90.00, 90.00 degrees
Atoms (fractional coordinates):
La 0.000 0.500 0.240
La 0.500 0.000 0.760
Ge 0.000 0.000 0.000
Ge 0.000 0.500 0.629
Ge 0.500 0.000 0.371
P 0.500 0.500 0.000
Pd 0.000 0.000 0.500
Pd 0.000 0.500 0.884
Pd 0.500 0.000 0.116
Pd 0.500 0.500 0.500

space group	P-4m2, No. 115
crystal system	tetragonal

***

(5)
VASP calculation (PBE) on LaGe2P2Pt7 after structural relaxation.

Cell lengths 3.944, 3.944, 15.326 Å; angles 97.25, 97.25, 89.25 degrees
Atoms (fractional coordinates):
La 0.000 0.000 0.000
Ge 0.247 0.247 0.432
Ge 0.753 0.753 0.568
P 0.383 0.383 0.754
P 0.617 0.617 0.246
Pt 0.076 0.576 0.159
Pt 0.321 0.321 0.602
Pt 0.424 0.924 0.841
Pt 0.500 0.500 0.000
Pt 0.576 0.076 0.159
Pt 0.679 0.679 0.398
Pt 0.924 0.424 0.841

space group	C2/m, No. 12
crystal system	monoclinic

***

(6)
VASP calculation (PBE) on LaGePPt6 after structural relaxation.

Cell lengths 8.019, 8.019, 8.019 Å; angles 123.55, 116.78, 89.81 degrees
Atoms (fractional coordinates):
La 0.407 0.157 0.250
La 0.593 0.843 0.750
Ge 0.000 0.000 0.500
Ge 0.000 0.500 0.000
P 0.000 0.500 0.500
P 0.500 0.500 0.000
Pt 0.109 0.383 0.246
Pt 0.109 0.863 0.726
Pt 0.136 0.886 0.250
Pt 0.332 0.582 0.750
Pt 0.362 0.137 0.746
Pt 0.362 0.617 0.226
Pt 0.638 0.383 0.774
Pt 0.638 0.863 0.254
Pt 0.668 0.418 0.250
Pt 0.864 0.114 0.750
Pt 0.891 0.137 0.274
Pt 0.891 0.617 0.754

space group	Imma, No. 74
crystal system	orthorhombic

***

Values of E, in order: -5.85; -5.63; -4.91; -5.86; -6.11; -6.16, all in eV/atom.